Model 1:
# Tl12In5Hg2

A geometry-optimized Tl12In5Hg2 structure (PBE-GGA, Alexandria).

- spin magnetization (μB/f.u.) = 0.0
- space group = C2/m, No. 12

abc: 5.910 10.394 10.394
angles: 66.30 78.88 78.88
Sites, in units of the cell vectors:
1 Tl 0.045 0.898 0.898
2 Tl 0.205 0.544 0.061
3 Tl 0.205 0.061 0.544
4 Tl 0.620 0.651 0.151
5 Tl 0.620 0.151 0.651
6 Tl 0.285 0.439 0.439
7 Tl 0.715 0.561 0.561
8 Tl 0.380 0.349 0.849
9 Tl 0.380 0.849 0.349
10 Tl 0.795 0.456 0.939
11 Tl 0.795 0.939 0.456
12 Tl 0.955 0.102 0.102
13 In 0.409 0.210 0.210
14 In 0.842 0.312 0.312
15 In 0.500 0.000 0.000
16 In 0.158 0.688 0.688
17 In 0.591 0.790 0.790
18 Hg 0.000 0.257 0.743
19 Hg 0.000 0.743 0.257



Model 2:
# Tl12In5Hg2

A geometry-optimized Tl12In5Hg2 structure (PBE-GGA, Alexandria).

- spin magnetization (μB/f.u.) = 0.0
- space group = C2/m, No. 12

abc: 7.098 10.621 8.676
angles: 72.07 90.00 109.52
Sites, in units of the cell vectors:
1 Tl 0.104 0.208 0.110
2 Tl 0.042 0.550 0.798
3 Tl 0.508 0.550 0.798
4 Tl 0.149 0.795 0.366
5 Tl 0.646 0.795 0.366
6 Tl 0.440 0.879 0.684
7 Tl 0.560 0.121 0.316
8 Tl 0.851 0.205 0.634
9 Tl 0.354 0.205 0.634
10 Tl 0.958 0.450 0.202
11 Tl 0.492 0.450 0.202
12 Tl 0.896 0.792 0.890
13 In 0.247 0.493 0.498
14 In 0.360 0.720 0.073
15 In 0.000 0.000 0.500
16 In 0.640 0.280 0.927
17 In 0.753 0.507 0.502
18 Hg 0.737 0.000 0.000
19 Hg 0.263 0.000 0.000



So which one is most stable? That would be model 1, about 1.7 kJ/mol of atoms below the next structure.



Model 1:
# Tl5InHg

A geometry-optimized Tl5InHg structure (PBE-GGA, Alexandria).

- spin magnetization (μB/f.u.) = 0.0
- space group = P4/mmm, No. 123

abc: 4.920 4.920 9.082
angles: 90.00 90.00 90.00
Sites, in units of the cell vectors:
1 Tl 0.500 0.500 0.000
2 Tl 0.500 0.000 0.274
3 Tl 0.000 0.500 0.274
4 Tl 0.500 0.000 0.726
5 Tl 0.000 0.500 0.726
6 In 0.000 0.000 0.500
7 Hg 0.000 0.000 0.000



Model 2:
# Tl5InHg

A geometry-optimized Tl5InHg structure (PBE-GGA, Alexandria).

- spin magnetization (μB/f.u.) = 0.0
- space group = Imm2, No. 44

abc: 11.139 6.252 7.142
angles: 115.96 141.25 90.00
Sites, in units of the cell vectors:
1 Tl 0.323 0.243 0.486
2 Tl 0.095 0.500 0.000
3 Tl 0.837 0.757 0.514
4 Tl 0.358 0.757 0.000
5 Tl 0.358 0.243 0.000
6 In 0.732 0.000 0.000
7 Hg 0.827 0.500 0.000



So which one is most stable? That would be model 1, about 1.0 kJ/mol of atoms below the next structure.



Model 1:
# TlIn3Hg6

A geometry-optimized TlIn3Hg6 structure (PBE-GGA, Alexandria).

- spin magnetization (μB/f.u.) = 0.0
- space group = Pnnm, No. 58

abc: 3.815 17.788 8.660
angles: 90.00 90.00 90.00
Sites, in units of the cell vectors:
1 Tl 0.500 0.500 0.500
2 Tl 0.000 0.000 0.000
3 In 0.500 0.175 0.091
4 In 0.500 0.000 0.500
5 In 0.500 0.825 0.909
6 In 0.000 0.675 0.409
7 In 0.000 0.500 0.000
8 In 0.000 0.325 0.591
9 Hg 0.500 0.120 0.755
10 Hg 0.500 0.409 0.808
11 Hg 0.500 0.784 0.555
12 Hg 0.500 0.216 0.445
13 Hg 0.500 0.591 0.192
14 Hg 0.500 0.880 0.245
15 Hg 0.000 0.620 0.745
16 Hg 0.000 0.909 0.692
17 Hg 0.000 0.284 0.945
18 Hg 0.000 0.716 0.055
19 Hg 0.000 0.091 0.308
20 Hg 0.000 0.380 0.255



Model 2:
# TlIn3Hg6

A geometry-optimized TlIn3Hg6 structure (PBE-GGA, Alexandria).

- spin magnetization (μB/f.u.) = 0.0
- space group = P2_1/m, No. 11

abc: 3.474 12.007 13.106
angles: 92.12 90.00 90.00
Sites, in units of the cell vectors:
1 Tl 0.750 0.996 0.699
2 Tl 0.250 0.004 0.301
3 In 0.750 0.332 0.894
4 In 0.250 0.668 0.106
5 In 0.750 0.625 0.502
6 In 0.250 0.375 0.498
7 In 0.750 0.163 0.098
8 In 0.250 0.837 0.902
9 Hg 0.750 0.474 0.693
10 Hg 0.250 0.526 0.307
11 Hg 0.750 0.905 0.096
12 Hg 0.250 0.095 0.904
13 Hg 0.750 0.434 0.108
14 Hg 0.250 0.566 0.892
15 Hg 0.750 0.764 0.304
16 Hg 0.250 0.236 0.696
17 Hg 0.750 0.138 0.488
18 Hg 0.250 0.862 0.512
19 Hg 0.750 0.730 0.721
20 Hg 0.250 0.270 0.279



So which one is most stable? That would be model 2, about 2.7 kJ/mol of atoms below the next structure.



Model 1:
# TlIn8Hg2

A geometry-optimized TlIn8Hg2 structure (PBE-GGA, Alexandria).

- spin magnetization (μB/f.u.) = 0.0
- space group = P-1, No. 2

abc: 4.638 7.947 8.914
angles: 110.28 103.56 91.31
Sites, in units of the cell vectors:
1 Tl 0.500 0.000 0.000
2 In 0.593 0.465 0.190
3 In 0.318 0.085 0.637
4 In 0.146 0.199 0.288
5 In 0.044 0.727 0.089
6 In 0.854 0.801 0.712
7 In 0.682 0.915 0.363
8 In 0.407 0.535 0.810
9 In 0.956 0.273 0.911
10 Hg 0.224 0.642 0.451
11 Hg 0.776 0.358 0.549



Model 2:
# TlIn8Hg2

A geometry-optimized TlIn8Hg2 structure (PBE-GGA, Alexandria).

- spin magnetization (μB/f.u.) = 0.0
- space group = C2/m, No. 12

abc: 5.563 8.628 8.272
angles: 58.56 78.27 67.06
Sites, in units of the cell vectors:
1 Tl 0.500 0.000 0.000
2 In 0.878 0.085 0.230
3 In 0.878 0.315 0.770
4 In 0.321 0.397 0.000
5 In 0.500 0.772 0.457
6 In 0.500 0.228 0.543
7 In 0.679 0.603 0.000
8 In 0.122 0.685 0.230
9 In 0.122 0.915 0.770
10 Hg 0.000 0.315 0.370
11 Hg 0.000 0.685 0.630



So which one is most stable? That would be model 1, about 3.7 kJ/mol of atoms below the next structure.



Model 1:
# Tl3In3Hg4

A geometry-optimized Tl3In3Hg4 structure (PBE-GGA, Alexandria).

- spin magnetization (μB/f.u.) = 0.0
- space group = Amm2, No. 38

abc: 4.063 8.449 8.449
angles: 89.67 90.00 90.00
Sites, in units of the cell vectors:
1 Tl 0.500 0.838 0.162
2 Tl 0.500 0.331 0.345
3 Tl 0.500 0.655 0.669
4 In 0.000 0.508 0.999
5 In 0.000 0.001 0.492
6 In 0.500 0.161 0.839
7 Hg 0.000 0.633 0.367
8 Hg 0.000 0.350 0.650
9 Hg 0.000 0.873 0.852
10 Hg 0.000 0.148 0.127



Model 2:
# Tl3In3Hg4

A geometry-optimized Tl3In3Hg4 structure (PBE-GGA, Alexandria).

- spin magnetization (μB/f.u.) = 0.0
- space group = I-43d, No. 220

abc: 9.150 9.150 9.150
angles: 109.47 109.47 109.47
Sites, in units of the cell vectors:
1 Tl 0.625 0.750 0.875
2 Tl 0.875 0.250 0.625
3 Tl 0.125 0.375 0.250
4 Tl 0.375 0.125 0.750
5 Tl 0.250 0.875 0.125
6 Tl 0.750 0.625 0.375
7 In 0.125 0.750 0.375
8 In 0.375 0.250 0.125
9 In 0.625 0.875 0.250
10 In 0.875 0.625 0.750
11 In 0.250 0.375 0.625
12 In 0.750 0.125 0.875
13 Hg 0.000 0.000 0.276
14 Hg 0.500 0.276 0.500
15 Hg 0.724 0.224 0.224
16 Hg 0.000 0.000 0.776
17 Hg 0.776 0.500 0.000
18 Hg 0.500 0.776 0.500
19 Hg 0.276 0.500 0.000
20 Hg 0.224 0.724 0.724



So which one is most stable? That would be model 1, about 3.8 kJ/mol of atoms below the next structure.



Model 1:
# TlIn6Hg3

A geometry-optimized TlIn6Hg3 structure (PBE-GGA, Alexandria).

- spin magnetization (μB/f.u.) = 0.0
- space group = Cmc2_1, No. 36

abc: 5.782 10.463 10.463
angles: 118.43 90.00 90.00
Sites, in units of the cell vectors:
1 Tl 0.189 0.203 0.797
2 Tl 0.689 0.797 0.203
3 In 0.040 0.715 0.608
4 In 0.540 0.608 0.715
5 In 0.324 0.551 0.964
6 In 0.824 0.964 0.551
7 In 0.380 0.946 0.054
8 In 0.677 0.298 0.702
9 In 0.177 0.702 0.298
10 In 0.880 0.054 0.946
11 In 0.324 0.036 0.449
12 In 0.824 0.449 0.036
13 In 0.040 0.392 0.285
14 In 0.540 0.285 0.392
15 Hg 0.460 0.911 0.735
16 Hg 0.960 0.735 0.911
17 Hg 0.090 0.404 0.596
18 Hg 0.590 0.596 0.404
19 Hg 0.960 0.089 0.265
20 Hg 0.460 0.265 0.089



Model 2:
# TlIn6Hg3

A geometry-optimized TlIn6Hg3 structure (PBE-GGA, Alexandria).

- spin magnetization (μB/f.u.) = 0.0
- space group = P2_1/m, No. 11

abc: 4.770 13.824 15.235
angles: 147.21 90.00 90.00
Sites, in units of the cell vectors:
1 Tl 0.750 0.920 0.651
2 Tl 0.250 0.080 0.349
3 In 0.750 0.425 0.646
4 In 0.250 0.575 0.354
5 In 0.750 0.715 0.046
6 In 0.250 0.285 0.954
7 In 0.750 0.248 0.074
8 In 0.250 0.752 0.926
9 In 0.750 0.622 0.240
10 In 0.250 0.378 0.760
11 In 0.750 0.043 0.469
12 In 0.250 0.957 0.531
13 In 0.750 0.813 0.828
14 In 0.250 0.187 0.172
15 Hg 0.750 0.319 0.849
16 Hg 0.250 0.681 0.151
17 Hg 0.750 0.523 0.450
18 Hg 0.250 0.477 0.550
19 Hg 0.750 0.080 0.206
20 Hg 0.250 0.920 0.794



So which one is most stable? That would be model 2, about 1.7 kJ/mol of atoms below the next structure.



Model 1:
# Tl3InHg

A geometry-optimized Tl3InHg structure (PBE-GGA, Alexandria).

- spin magnetization (μB/f.u.) = 0.0
- space group = P-1, No. 2

abc: 3.441 7.797 11.674
angles: 100.94 98.49 102.75
Sites, in units of the cell vectors:
1 Tl 0.638 0.410 0.298
2 Tl 0.127 0.610 0.075
3 Tl 0.381 0.210 0.984
4 Tl 0.389 0.642 0.567
5 Tl 0.870 0.410 0.761
6 Tl 0.119 0.178 0.492
7 In 0.881 0.017 0.175
8 In 0.627 0.803 0.884
9 Hg 0.137 0.997 0.708
10 Hg 0.371 0.823 0.351



Model 2:
# Tl3InHg

A geometry-optimized Tl3InHg structure (PBE-GGA, Alexandria).

- spin magnetization (μB/f.u.) = 0.0
- space group = Pm-3m, No. 221

abc: 5.856 5.856 5.856
angles: 90.00 90.00 90.00
Sites, in units of the cell vectors:
1 Tl 0.000 0.500 0.000
2 Tl 0.000 0.000 0.500
3 Tl 0.500 0.000 0.000
4 Hg 0.500 0.500 0.500
5 In 0.000 0.000 0.000



So which one is most stable? That would be model 1, about 25.3 kJ/mol of atoms below the next structure.



Model 1:
# Tl7InHg4

A geometry-optimized Tl7InHg4 structure (PBE-GGA, Alexandria).

- spin magnetization (μB/f.u.) = 0.0
- space group = C2/m, No. 12

abc: 6.294 9.266 7.617
angles: 71.70 65.60 70.15
Sites, in units of the cell vectors:
1 Tl 0.753 0.015 0.480
2 Tl 0.247 0.985 0.520
3 Tl 0.003 0.665 0.330
4 Tl 0.997 0.335 0.670
5 Tl 0.256 0.638 0.850
6 Tl 0.500 0.000 0.000
7 Tl 0.744 0.362 0.150
8 In 0.000 0.000 0.000
9 Hg 0.505 0.331 0.659
10 Hg 0.495 0.669 0.341
11 Hg 0.753 0.684 0.811
12 Hg 0.247 0.316 0.189



Model 2:
# Tl7InHg4

A geometry-optimized Tl7InHg4 structure (PBE-GGA, Alexandria).

- spin magnetization (μB/f.u.) = 0.0
- space group = P-3m1, No. 164

abc: 5.582 5.582 13.084
angles: 90.00 90.00 120.00
Sites, in units of the cell vectors:
1 Tl 0.000 0.000 0.000
2 Tl 0.667 0.333 0.583
3 Tl 0.333 0.667 0.417
4 Tl 0.667 0.333 0.852
5 Tl 0.333 0.667 0.148
6 Tl 0.000 0.000 0.258
7 Tl 0.000 0.000 0.742
8 In 0.000 0.000 0.500
9 Hg 0.667 0.333 0.097
10 Hg 0.333 0.667 0.903
11 Hg 0.667 0.333 0.334
12 Hg 0.333 0.667 0.666



So which one is most stable? That would be model 2, about 2.4 kJ/mol of atoms below the next structure.



Model 1:
# TlIn4Hg

A geometry-optimized TlIn4Hg structure (PBE-GGA, Alexandria).

- spin magnetization (μB/f.u.) = 0.0
- space group = C2/m, No. 12

abc: 4.573 5.736 7.037
angles: 102.97 90.00 113.49
Sites, in units of the cell vectors:
1 Tl 0.000 0.000 0.500
2 In 0.336 0.671 0.159
3 In 0.664 0.329 0.841
4 In 0.331 0.662 0.674
5 In 0.669 0.338 0.326
6 Hg 0.000 0.000 0.000



Model 2:
# TlIn4Hg

A geometry-optimized TlIn4Hg structure (PBE-GGA, Alexandria).

- spin magnetization (μB/f.u.) = 0.0
- space group = F-43m, No. 216

abc: 6.274 6.274 6.274
angles: 60.00 60.00 60.00
Sites, in units of the cell vectors:
1 Hg 0.000 0.000 0.000
2 In 0.125 0.625 0.625
3 In 0.625 0.625 0.625
4 In 0.625 0.125 0.625
5 In 0.625 0.625 0.125
6 Tl 0.250 0.250 0.250



So which one is most stable? That would be model 1, about 4.9 kJ/mol of atoms below the next structure.



Model 1:
# Tl2In3Hg

A geometry-optimized Tl2In3Hg structure (PBE-GGA, Alexandria).

- spin magnetization (μB/f.u.) = 0.0
- space group = Cm, No. 8

abc: 5.506 6.519 6.208
angles: 63.43 63.67 65.02
Sites, in units of the cell vectors:
1 Tl 0.498 0.252 0.752
2 Tl 0.501 0.750 0.248
3 In 0.837 0.662 0.663
4 In 0.830 0.171 0.170
5 In 0.167 0.833 0.832
6 Hg 0.167 0.331 0.335



Model 2:
# Tl2In3Hg

A geometry-optimized Tl2In3Hg structure (PBE-GGA, Alexandria).

- spin magnetization (μB/f.u.) = 0.0
- space group = Cmcm, No. 63

abc: 6.262 8.279 8.321
angles: 119.83 90.00 90.00
Sites, in units of the cell vectors:
1 Tl 0.750 0.524 0.359
2 Tl 0.250 0.476 0.641
3 Tl 0.250 0.835 0.359
4 Tl 0.750 0.165 0.641
5 In 0.000 0.143 0.286
6 In 0.500 0.857 0.714
7 In 0.000 0.500 0.000
8 In 0.500 0.500 0.000
9 In 0.000 0.857 0.714
10 In 0.500 0.143 0.286
11 Hg 0.250 0.191 0.000
12 Hg 0.750 0.809 0.000



So which one is most stable? That would be model 1, about 7.9 kJ/mol of atoms below the next structure.